No. 1
Computed, not measured: a relaxed structure of Na2As2PtRh at the PBE level of DFT.

Unit cell a=8.031 b=8.031 c=8.031 alpha=138.44 beta=63.70 gamma=134.02
Fractional coordinates of all 12 atoms:
1 Na 0.171 0.242 0.413
2 Na 0.329 0.742 0.071
3 Na 0.671 0.258 0.929
4 Na 0.829 0.758 0.587
5 As 0.101 0.740 0.842
6 As 0.399 0.240 0.639
7 As 0.601 0.760 0.361
8 As 0.899 0.260 0.158
9 Pt 0.250 0.250 0.000
10 Pt 0.750 0.750 0.000
11 Rh 0.250 0.750 0.500
12 Rh 0.750 0.250 0.500

Computed properties:
energy relative to the elements: -0.436 eV/atom
spin magnetization: 0.00 μB per cell
theoretical density: 6.72 g cm⁻³

***

No. 2
Computed, not measured: a relaxed structure of CePuRh2 at the PBE level of DFT.

Unit cell a=3.920 b=3.920 c=20.577 alpha=90.00 beta=90.00 gamma=120.00
Fractional coordinates of all 12 atoms:
1 Ce 0.000 0.000 0.000
2 Ce 0.333 0.667 0.667
3 Ce 0.667 0.333 0.333
4 Pu 0.000 0.000 0.830
5 Pu 0.333 0.667 0.496
6 Pu 0.667 0.333 0.163
7 Rh 0.000 0.000 0.415
8 Rh 0.000 0.000 0.579
9 Rh 0.333 0.667 0.082
10 Rh 0.333 0.667 0.246
11 Rh 0.667 0.333 0.749
12 Rh 0.667 0.333 0.912

Computed properties:
energy relative to the elements: -0.420 eV/atom
spin magnetization: 17.02 μB per cell
theoretical density: 10.73 g cm⁻³

***

No. 3
Computed, not measured: a relaxed structure of Na2SrZnO at the PBE level of DFT.

Unit cell a=6.828 b=6.828 c=4.442 alpha=90.00 beta=90.00 gamma=90.00
Fractional coordinates of all 5 atoms:
1 Na 0.000 0.500 0.000
2 Na 0.500 0.000 0.000
3 Sr 0.000 0.000 0.000
4 Zn 0.500 0.500 0.500
5 O 0.000 0.000 0.500

Computed properties:
raw total energy: -11.5 eV/f.u.
spin magnetization: 0.00 μB per cell
theoretical density: 1.72 g cm⁻³